Record 1
# TaPtSe2

A relaxed TaPtSe2 crystal (GGA-PBE, Alexandria via LeMat-Bulk).

Energy in eV per atom: -6.602
Energy above the most stable polymorph in this dataset in meV per atom: 10.9
Calculated volume in A^3/atom: 25.9
D(E_F) in states/eV/atom: 0.426
Formation energy from raw total energies in kJ per mole of atoms: -37.3

a b c (Å): 4.650 4.650 7.074
angles (deg): 101.47 101.47 43.96
Positions (direct):
Ta 0.000 0.000 0.000
Pt 0.689 0.689 0.879
Se 0.373 0.373 0.718
Se 0.552 0.552 0.269

---

Record 2
# TaPtSe2

A relaxed TaPtSe2 crystal (GGA-PBE, Alexandria via LeMat-Bulk).

Energy in eV per atom: -6.199
Energy above the most stable polymorph in this dataset in meV per atom: 413.5
Calculated volume in A^3/atom: 23.9
D(E_F) in states/eV/atom: 0.683
Formation energy from raw total energies in kJ per mole of atoms: 1.6

a b c (Å): 6.907 6.907 6.907
angles (deg): 129.57 129.57 74.10
Positions (direct):
Ta 0.000 0.000 0.000
Ta 0.750 0.250 0.500
Pt 0.250 0.750 0.500
Pt 0.500 0.500 0.000
Se 0.124 0.625 0.999
Se 0.375 0.374 0.499
Se 0.626 0.125 0.001
Se 0.875 0.876 0.501

---

Record 3
# TaPtSe2

A relaxed TaPtSe2 crystal (GGA-PBE, Alexandria via LeMat-Bulk).

Energy in eV per atom: -6.553
Energy above the most stable polymorph in this dataset in meV per atom: 59.2
Calculated volume in A^3/atom: 19.9
D(E_F) in states/eV/atom: 0.330
Formation energy from raw total energies in kJ per mole of atoms: -32.6

a b c (Å): 8.543 8.543 8.543
angles (deg): 22.41 22.41 22.41
Positions (direct):
Ta 0.000 0.000 0.000
Pt 0.500 0.500 0.500
Se 0.403 0.403 0.403
Se 0.597 0.597 0.597

---

Record 4
# TaPtSe

A relaxed TaPtSe crystal (GGA-PBE, Alexandria via LeMat-Bulk).

Energy in eV per atom: -7.583
Energy above the most stable polymorph in this dataset in meV per atom: 36.1
Calculated volume in A^3/atom: 20.0
D(E_F) in states/eV/atom: 1.018
Formation energy from raw total energies in kJ per mole of atoms: -44.1

a b c (Å): 3.368 3.368 6.121
angles (deg): 90.00 90.00 120.00
Positions (direct):
Ta 0.000 0.000 0.000
Pt 0.333 0.667 0.711
Se 0.333 0.667 0.285

---

Record 5
# TaPtSe

A relaxed TaPtSe crystal (GGA-PBE, Alexandria via LeMat-Bulk).

Energy in eV per atom: -7.619
Energy above the most stable polymorph in this dataset in meV per atom: 0.0
Calculated volume in A^3/atom: 22.2
D(E_F) in states/eV/atom: 0.438
Formation energy from raw total energies in kJ per mole of atoms: -47.6

a b c (Å): 12.095 12.095 12.095
angles (deg): 17.08 17.08 17.08
Positions (direct):
Ta 0.071 0.071 0.071
Ta 0.929 0.929 0.929
Pt 0.362 0.362 0.362
Pt 0.638 0.638 0.638
Se 0.216 0.216 0.216
Se 0.784 0.784 0.784

---

Record 6
# TaPtSe

A relaxed TaPtSe crystal (GGA-PBE, Alexandria via LeMat-Bulk).

Energy in eV per atom: -7.451
Energy above the most stable polymorph in this dataset in meV per atom: 168.1
Calculated volume in A^3/atom: 21.2
D(E_F) in states/eV/atom: 0.514
Formation energy from raw total energies in kJ per mole of atoms: -31.4

a b c (Å): 3.038 6.239 6.239
angles (deg): 32.52 90.00 90.00
Positions (direct):
Ta 0.000 0.000 0.000
Pt 0.500 0.380 0.380
Se 0.500 0.165 0.165

---

Record 7
# TaPtSe2

A relaxed TaPtSe2 crystal (GGA-PBE, Alexandria via LeMat-Bulk).

Energy in eV per atom: -6.012
Energy above the most stable polymorph in this dataset in meV per atom: 600.4
Calculated volume in A^3/atom: 18.1
D(E_F) in states/eV/atom: 0.700
Formation energy from raw total energies in kJ per mole of atoms: 19.6

a b c (Å): 3.195 4.215 5.376
angles (deg): 90.00 90.00 90.00
Positions (direct):
Ta 0.000 0.000 0.000
Pt 0.500 0.000 0.500
Se 0.000 0.500 0.500
Se 0.500 0.500 0.000

---

Record 8
# Ta2PtSe

A relaxed Ta2PtSe crystal (GGA-PBE, Alexandria via LeMat-Bulk).

Energy in eV per atom: -8.263
Calculated volume in A^3/atom: 17.3
D(E_F) in states/eV/atom: 1.008
Formation energy from raw total energies in kJ per mole of atoms: 4.3

a b c (Å): 5.323 5.323 5.323
angles (deg): 136.97 136.97 62.48
Positions (direct):
Ta 0.000 0.000 0.000
Ta 0.750 0.250 0.500
Pt 0.250 0.750 0.500
Se 0.500 0.500 0.000

---

Record 9
# Ta2PtSe

A relaxed Ta2PtSe crystal (GGA-PBE, Alexandria via LeMat-Bulk).

Energy in eV per atom: -8.669
Calculated volume in A^3/atom: 16.6
D(E_F) in states/eV/atom: 0.983
Formation energy from raw total energies in kJ per mole of atoms: -34.8

a b c (Å): 3.039 3.039 7.203
angles (deg): 90.00 90.00 90.00
Positions (direct):
Ta 0.000 0.000 0.236
Ta 0.000 0.000 0.764
Pt 0.500 0.500 0.500
Se 0.500 0.500 0.000

---

Record 10
# Ta2PtSe

A relaxed Ta2PtSe crystal (GGA-PBE, Alexandria via LeMat-Bulk).

Energy in eV per atom: -8.403
Calculated volume in A^3/atom: 18.1
D(E_F) in states/eV/atom: 0.626
Formation energy from raw total energies in kJ per mole of atoms: -9.2

a b c (Å): 4.416 3.133 5.407
angles (deg): 90.00 104.42 90.00
Positions (direct):
Ta 0.000 0.000 0.000
Ta 0.500 0.500 0.500
Pt 0.000 0.000 0.500
Se 0.500 0.500 0.000

---

Record 11
# TaPtSe

A relaxed TaPtSe crystal (GGA-PBE, Alexandria via LeMat-Bulk).

Energy in eV per atom: -7.298
Energy above the most stable polymorph in this dataset in meV per atom: 321.1
Calculated volume in A^3/atom: 20.1
D(E_F) in states/eV/atom: 1.047
Formation energy from raw total energies in kJ per mole of atoms: -16.6

a b c (Å): 4.399 4.399 4.399
angles (deg): 60.00 60.00 60.00
Positions (direct):
Ta 0.000 0.000 0.000
Pt 0.250 0.250 0.250
Se 0.750 0.750 0.750

---

Record 12
# TaPtSe

A relaxed TaPtSe crystal (GGA-PBE, Alexandria via LeMat-Bulk).

Energy in eV per atom: -7.453
Energy above the most stable polymorph in this dataset in meV per atom: 165.9
Calculated volume in A^3/atom: 20.3
D(E_F) in states/eV/atom: 0.648
Formation energy from raw total energies in kJ per mole of atoms: -31.6

a b c (Å): 3.379 3.379 6.164
angles (deg): 90.00 90.00 120.00
Positions (direct):
Ta 0.000 0.000 0.000
Pt 0.667 0.333 0.282
Se 0.333 0.667 0.714